# 1
Compound: Sc3InSn2
Source: the Alexandria database
Functional: PBE
Structure: relaxed

a = 5.9987 Å, b = 5.9750 Å, c = 8.4102 Å
α = 100.80°, β = 110.89°, γ = 90.00°
Last column: nearest neighbours and their distance in Å.
Positions (direct):
Sn  0.7834  0.0688  0.3283  7 Sc 2.99-3.32, 1 In 3.30, 2 Sn 3.31
Sn  0.5449  0.5688  0.3283  7 Sc 2.99-3.32, 1 In 3.30, 2 Sn 3.31
Sn  0.2166  0.9312  0.6717  7 Sc 2.99-3.32, 1 In 3.30, 2 Sn 3.31
Sn  0.4551  0.4312  0.6717  7 Sc 2.99-3.32, 1 In 3.30, 2 Sn 3.31
Sc  0.3826  0.7500  0.0000  2 In 2.97-3.02, 4 Sn 2.99-3.21, 2 Sc 3.30
Sc  0.9526  0.4187  0.6622  5 Sn 2.99-3.32, 2 In 3.02-3.29, 3 Sc 3.29-3.32
Sc  0.2904  0.0813  0.3378  5 Sn 2.99-3.32, 2 In 3.02-3.29, 3 Sc 3.29-3.32
Sc  0.7096  0.9187  0.6622  5 Sn 2.99-3.32, 2 In 3.02-3.29, 3 Sc 3.29-3.32
Sc  0.0474  0.5813  0.3378  5 Sn 2.99-3.32, 2 In 3.02-3.29, 3 Sc 3.29-3.32
Sc  0.6174  0.2500  0.0000  2 In 2.97-3.02, 4 Sn 2.99-3.21, 2 Sc 3.30
In  0.8868  0.7500  0.0000  6 Sc 2.97-3.29, 2 In 3.28, 2 Sn 3.30
In  0.1132  0.2500  0.0000  6 Sc 2.97-3.29, 2 In 3.28, 2 Sn 3.30

## Properties
As for the formation energy: -0.51 eV/atom.

# 2
Compound: Mg3Tl4
Source: the Alexandria database
Functional: PBE
Structure: relaxed

a = 12.5903 Å, b = 12.5903 Å, c = 12.5903 Å
α = 162.27°, β = 162.27°, γ = 25.17°
Last column: nearest neighbours and their distance in Å.
Positions (direct):
Tl  0.1512  0.1512  0.0000  5 Mg 3.17-3.27, 4 Tl 3.38
Tl  0.8488  0.8488  0.0000  5 Mg 3.17-3.27, 4 Tl 3.38
Tl  0.4291  0.4291  0.0000  5 Mg 3.25-3.56, 5 Tl 3.38-3.48
Tl  0.5709  0.5709  0.0000  5 Mg 3.25-3.56, 5 Tl 3.38-3.48
Mg  0.7158  0.7158  0.0000  5 Tl 3.17-3.27, 4 Mg 3.22
Mg  0.2842  0.2842  0.0000  5 Tl 3.17-3.27, 4 Mg 3.22
Mg  0.0000  0.0000  0.0000  8 Tl 3.25

## Properties
The value obtained for the energy above the most stable polymorph in this dataset is 0.02 eV/f.u. As for the formation energy: 0.01 eV/atom.

# 3
Compound: SrAg2Hg
Source: the Alexandria database
Functional: PBE
Structure: relaxed

a = 4.8643 Å, b = 4.8643 Å, c = 5.8623 Å
α = 65.62°, β = 65.62°, γ = 59.91°
Last column: nearest neighbours and their distance in Å.
Positions (direct):
Sr  0.7453  0.7453  0.7639  7 Ag 3.28-3.61, 4 Hg 3.32-3.36
Ag  0.9578  0.9578  0.1266  3 Ag 2.83, 3 Hg 3.16
Ag  0.2659  0.2659  0.2019  3 Ag 2.83, 3 Hg 3.00
Hg  0.5310  0.5310  0.4075  6 Ag 3.00-3.16, 4 Sr 3.32-3.36

## Properties
As for the formation energy: -0.26 eV/atom.

# 4
Compound: OsRuN
Source: the Alexandria database
Functional: PBE
Structure: relaxed

a = 4.0791 Å, b = 4.1009 Å, c = 5.2311 Å
α = 69.03°, β = 67.82°, γ = 86.35°
Last column: nearest neighbours and their distance in Å.
Positions (direct):
Os  0.6122  0.5261  0.4181  2 N 1.99-2.00
Os  0.4326  0.8714  0.7642  2 N 1.99-2.00
Ru  0.1806  0.0949  0.2957  2 N 1.94
Ru  0.9449  0.3276  0.7850  2 N 2.00-2.01
N  0.5443  0.4827  0.0747  2 Ru 1.94-2.01, 2 Os 1.99-2.00
N  0.9923  0.8892  0.0939  2 Ru 1.94-2.00, 2 Os 1.99-2.00

## Properties
The value obtained for the energy above the most stable polymorph in this dataset is 0.21 eV/f.u. The uncorrected formation energy is 423 meV/atom.

What did the first record say?
Compound: Sc3InSn2
Source: the Alexandria database
Functional: PBE
Structure: relaxed

a = 5.9987 Å, b = 5.9750 Å, c = 8.4102 Å
α = 100.80°, β = 110.89°, γ = 90.00°
Last column: nearest neighbours and their distance in Å.
Positions (direct):
Sn  0.7834  0.0688  0.3283  7 Sc 2.99-3.32, 1 In 3.30, 2 Sn 3.31
Sn  0.5449  0.5688  0.3283  7 Sc 2.99-3.32, 1 In 3.30, 2 Sn 3.31
Sn  0.2166  0.9312  0.6717  7 Sc 2.99-3.32, 1 In 3.30, 2 Sn 3.31
Sn  0.4551  0.4312  0.6717  7 Sc 2.99-3.32, 1 In 3.30, 2 Sn 3.31
Sc  0.3826  0.7500  0.0000  2 In 2.97-3.02, 4 Sn 2.99-3.21, 2 Sc 3.30
Sc  0.9526  0.4187  0.6622  5 Sn 2.99-3.32, 2 In 3.02-3.29, 3 Sc 3.29-3.32
Sc  0.2904  0.0813  0.3378  5 Sn 2.99-3.32, 2 In 3.02-3.29, 3 Sc 3.29-3.32
Sc  0.7096  0.9187  0.6622  5 Sn 2.99-3.32, 2 In 3.02-3.29, 3 Sc 3.29-3.32
Sc  0.0474  0.5813  0.3378  5 Sn 2.99-3.32, 2 In 3.02-3.29, 3 Sc 3.29-3.32
Sc  0.6174  0.2500  0.0000  2 In 2.97-3.02, 4 Sn 2.99-3.21, 2 Sc 3.30
In  0.8868  0.7500  0.0000  6 Sc 2.97-3.29, 2 In 3.28, 2 Sn 3.30
In  0.1132  0.2500  0.0000  6 Sc 2.97-3.29, 2 In 3.28, 2 Sn 3.30

## Properties
As for the formation energy: -0.51 eV/atom.